The following is a PBE calculation of an optimized crystal structure of MoPd, from Alexandria via LeMat-Bulk.

Results
Space group   No. 176
Uncorrected energy   -92.83 eV per cell

POSCAR file:
```
MoPd
1.0
9.302 0.000 0.000
-4.651 8.056 0.000
0.000 0.000 2.681
Mo Pd
6 6
Cartesian
-1.047 4.229 0.670 Mo
-0.466 6.848 0.670 Mo
1.513 5.035 0.670 Mo
3.139 3.021 2.011 Mo
5.117 1.208 2.011 Mo
5.698 3.827 2.011 Mo
-3.065 6.165 0.670 Pd
0.844 2.319 0.670 Pd
2.430 0.428 2.011 Pd
2.221 7.628 0.670 Pd
3.807 5.737 2.011 Pd
7.716 1.890 2.011 Pd
```

The following is a PBE calculation of an optimized crystal structure of MoPd, from Alexandria via LeMat-Bulk.

Results
Space group   No. 194
Uncorrected energy   -26.82 eV per cell

POSCAR file:
```
MoPd
1.0
4.403 0.000 0.000
-2.201 3.813 0.000
0.000 0.000 5.066
Mo Pd
2 2
Cartesian
0.000 2.542 1.267 Mo
2.201 1.271 3.800 Mo
0.000 2.542 3.800 Pd
2.201 1.271 1.267 Pd
```

The following is a PBE calculation of an optimized crystal structure of MoPd, from Alexandria via LeMat-Bulk.

Results
Space group   No. 31
Uncorrected energy   -95.19 eV per cell

POSCAR file:
```
MoPd
1.0
14.221 0.000 0.000
0.000 2.736 0.000
0.000 0.000 4.877
Mo Pd
6 6
Cartesian
0.000 0.546 0.000 Mo
2.098 2.697 1.316 Mo
5.013 0.039 3.754 Mo
7.110 2.189 2.438 Mo
9.208 0.039 3.754 Mo
12.123 2.697 1.316 Mo
0.000 1.635 2.541 Pd
2.651 1.418 3.728 Pd
4.459 1.318 1.290 Pd
7.110 1.100 0.103 Pd
9.762 1.318 1.290 Pd
11.570 1.418 3.728 Pd
```

The following is a PBE calculation of an optimized crystal structure of MoPd, from Alexandria via LeMat-Bulk.

Results
Space group   No. 216
Uncorrected energy   -51.74 eV per cell

POSCAR file:
```
MoPd
1.0
5.689 0.000 0.000
0.000 5.689 0.000
0.000 0.000 5.689
Mo Pd
4 4
Cartesian
0.000 0.000 0.000 Mo
0.000 2.845 2.845 Mo
2.845 0.000 2.845 Mo
2.845 2.845 0.000 Mo
1.422 1.422 4.267 Pd
1.422 4.267 1.422 Pd
4.267 1.422 1.422 Pd
4.267 4.267 4.267 Pd
```

The following is a PBE calculation of an optimized crystal structure of Mo2Pd5, from Alexandria via LeMat-Bulk.

Results
Space group   No. 12
Uncorrected energy   -92.50 eV per cell

POSCAR file:
```
Mo2Pd5
1.0
13.156 0.000 0.000
0.000 2.700 0.000
-5.759 0.000 6.640
Mo Pd
4 10
Cartesian
-0.439 0.000 2.457 Mo
1.258 1.350 4.183 Mo
6.139 1.350 2.457 Mo
7.836 0.000 4.183 Mo
-2.880 1.350 3.320 Pd
-3.502 0.000 5.873 Pd
1.721 1.350 1.595 Pd
-0.903 0.000 5.045 Pd
4.321 1.350 0.766 Pd
3.698 0.000 3.320 Pd
3.075 1.350 5.873 Pd
8.299 0.000 1.595 Pd
5.675 1.350 5.045 Pd
10.899 0.000 0.766 Pd
```

The following is a PBE calculation of an optimized crystal structure of MoPd, from Alexandria via LeMat-Bulk.

Results
Space group   No. 87
Uncorrected energy   -123.60 eV per cell

POSCAR file:
```
MoPd
1.0
10.001 0.000 0.000
0.000 10.001 0.000
0.000 0.000 2.655
Mo Pd
8 8
Cartesian
0.997 6.433 0.000 Mo
1.432 4.004 1.327 Mo
3.568 0.997 0.000 Mo
4.004 8.569 1.327 Mo
5.997 1.432 1.327 Mo
6.433 9.004 0.000 Mo
8.569 5.997 1.327 Mo
9.004 3.568 0.000 Mo
0.976 1.647 0.000 Pd
1.647 9.026 0.000 Pd
3.353 5.976 1.327 Pd
4.025 3.353 1.327 Pd
5.976 6.648 1.327 Pd
6.648 4.025 1.327 Pd
8.354 0.976 0.000 Pd
9.026 8.354 0.000 Pd
```

The following is a PBE calculation of an optimized crystal structure of MoPd, from Alexandria via LeMat-Bulk.

Results
Space group   No. 62
Uncorrected energy   -128.03 eV per cell

POSCAR file:
```
MoPd
1.0
9.578 0.000 0.000
0.000 4.487 0.000
0.000 0.000 5.706
Mo Pd
8 8
Cartesian
0.812 1.122 1.408 Mo
1.526 3.365 5.669 Mo
3.264 1.122 2.816 Mo
3.978 3.365 4.261 Mo
5.601 1.122 1.445 Mo
6.315 3.365 2.891 Mo
8.053 1.122 0.037 Mo
8.767 3.365 4.298 Mo
0.833 1.122 4.239 Pd
1.568 3.365 2.838 Pd
3.221 1.122 5.691 Pd
3.956 3.365 1.386 Pd
5.622 1.122 4.321 Pd
6.357 3.365 0.015 Pd
8.010 1.122 2.868 Pd
8.746 3.365 1.467 Pd
```

The following is a PBE calculation of an optimized crystal structure of MoPd, from Alexandria via LeMat-Bulk.

Results
Space group   No. 187
Uncorrected energy   -15.95 eV per cell

POSCAR file:
```
MoPd
1.0
2.782 0.000 0.000
-1.391 2.409 0.000
0.000 0.000 4.588
Mo Pd
1 1
Cartesian
0.000 0.000 0.000 Mo
1.391 0.803 2.294 Pd
```